No. 1
Here is a geometry-optimized TmAlZn structure from Alexandria via LeMat-Bulk. Energies are from PBE.

Results
The calculation puts the density of states at the Fermi level at 0.519 states/eV/atom. The energy of formation comes out at -0.44 eV/atom. The calculated total energy comes out at -0.1324 hartree per atom. For the density, the calculation gives 7.21 g/cm3. The space group is P6_3/mmc (194).

Lattice parameters (Å, degrees): 4.451 4.451 7.018 90.00 90.00 120.00
Fractional coordinates of all 6 atoms:
1 Tm 0.000 0.000 0.000
2 Al 0.333 0.667 0.250
3 Al 0.667 0.333 0.750
4 Zn 0.667 0.333 0.250
5 Zn 0.333 0.667 0.750
6 Tm 0.000 0.000 0.500

No. 2
Here is a geometry-optimized TmAlZn structure from Alexandria via LeMat-Bulk. Energies are from PBE.

Results
The calculation puts the density of states at the Fermi level at 0.564 states/eV/atom. The energy of formation comes out at -0.39 eV/atom. The calculated total energy comes out at -0.1307 hartree per atom. For the density, the calculation gives 7.25 g/cm3. The space group is Pmma (51).

Lattice parameters (Å, degrees): 4.030 6.984 12.759 90.00 90.00 90.00
Fractional coordinates of all 18 atoms:
1 Al 0.500 0.571 0.633
2 Tm 0.000 0.253 0.544
3 Zn 0.500 0.054 0.093
4 Zn 0.500 0.946 0.593
5 Tm 0.000 0.856 0.750
6 Al 0.500 0.429 0.133
7 Al 0.500 0.203 0.750
8 Zn 0.000 0.440 0.750
9 Al 0.500 0.429 0.367
10 Al 0.500 0.797 0.250
11 Zn 0.500 0.054 0.407
12 Tm 0.000 0.747 0.456
13 Al 0.500 0.571 0.867
14 Zn 0.500 0.946 0.907
15 Tm 0.000 0.747 0.044
16 Zn 0.000 0.560 0.250
17 Tm 0.000 0.253 0.956
18 Tm 0.000 0.144 0.250

No. 3
Here is a geometry-optimized TmAlZn11 structure from Alexandria via LeMat-Bulk. Energies are from PBE.

Results
The calculation puts the density of states at the Fermi level at 0.197 states/eV/atom. The energy of formation comes out at -0.15 eV/atom. The calculated total energy comes out at -0.0684 hartree per atom. For the density, the calculation gives 7.40 g/cm3. The space group is C2/m (12).

Lattice parameters (Å, degrees): 5.251 6.788 6.779 81.36 67.21 67.17
Fractional coordinates of all 13 atoms:
1 Zn 0.500 0.000 0.500
2 Zn 0.000 0.500 0.000
3 Zn 0.002 0.353 0.645
4 Zn 0.719 0.786 0.783
5 Zn 0.647 0.353 0.355
6 Zn 0.998 0.647 0.355
7 Zn 0.353 0.647 0.645
8 Tm 0.000 0.000 0.000
9 Zn 0.502 0.786 0.217
10 Al 0.500 0.500 0.000
11 Zn 0.281 0.214 0.217
12 Zn 0.498 0.214 0.783
13 Zn 0.000 0.000 0.500

No. 4
Here is a geometry-optimized Tm3AlZn structure from Alexandria via LeMat-Bulk. Energies are from PBE.

Results
The calculation puts the density of states at the Fermi level at 0.706 states/eV/atom. The energy of formation comes out at -0.29 eV/atom. The calculated total energy comes out at -0.1463 hartree per atom. For the density, the calculation gives 8.25 g/cm3. The space group is Cmcm (63).

Lattice parameters (Å, degrees): 4.967 4.966 10.092 90.00 75.76 90.00
Fractional coordinates of all 10 atoms:
1 Al 0.983 0.250 0.682
2 Tm 0.890 0.750 0.868
3 Tm 0.758 0.250 0.132
4 Al 0.665 0.750 0.318
5 Tm 0.574 0.250 0.500
6 Tm 0.391 0.250 0.866
7 Zn 0.484 0.750 0.681
8 Tm 0.074 0.750 0.500
9 Zn 0.165 0.250 0.319
10 Tm 0.257 0.750 0.134